The following is a GGA-PBE calculation of a relaxed Cr2AgAu crystal, from Alexandria via LeMat-Bulk.

Structure (extended XYZ):
```
4
Lattice="-0.770 2.141 1.596 -1.830 -1.633 1.307 5.563 -1.971 5.328" Properties=species:S:1:pos:R:3 pbc="T T T"
Ag 2.692 -0.954 2.578
Au 2.990 -1.266 5.560
Cr 0.135 -0.048 0.130
Cr -0.073 -0.181 2.627
```

Computed properties:
**Magnetization**: 3.67 μB per cell
**Energy relative to the elements**: 0.38 eV/atom
**Density**: 11.1 g/cm3
**Electronic total energy**: -5.961 eV per atom
**Distance to the lowest polymorph of the same formula**: 204 meV per atom